(1)
# ZrReTc2

Crystalline ZrReTc2 at its relaxed geometry (GGA-PBE, Alexandria).

abc: 2.809 4.395 5.339
angles: 90.00 99.24 90.00
Space group P2/m (No. 10)
Unique sites:
Zr  0.000  0.000  0.000 (multiplicity 1)
Re  0.500  0.000  0.500 (multiplicity 1)
Tc  0.255  0.500  0.733 (multiplicity 2)

Results
Its crystal system is monoclinic. Its formation energy is 17 meV/atom.

(2)
# Zr3ReTc

Crystalline Zr3ReTc at its relaxed geometry (GGA-PBE, Alexandria).

abc: 5.005 5.005 5.005
angles: 90.00 90.00 90.00
Space group Pm-3m (No. 221)
Unique sites:
Zr  0.000  0.000  0.500 (multiplicity 3)
Re  0.000  0.000  0.000 (multiplicity 1)
Tc  0.500  0.500  0.500 (multiplicity 1)

Results
Its crystal system is cubic. As for the energy above the most stable polymorph in this dataset: 0 meV per atom. Its formation energy is 1028 meV/atom.

(3)
# ZrReTc4

Crystalline ZrReTc4 at its relaxed geometry (GGA-PBE, Alexandria).

abc: 7.290 7.290 7.290
angles: 90.00 90.00 90.00
Space group F-43m (No. 216)
Unique sites:
Zr  0.000  0.000  0.000 (multiplicity 4)
Re  0.250  0.250  0.750 (multiplicity 4)
Tc  0.126  0.126  0.374 (multiplicity 16)

Results
Its crystal system is cubic. Its formation energy is 46 meV/atom.

no.,ρ (g/cm3)
1,12.08
2,7.39
3,11.48